[1]
SrCe2TeO8 after structural relaxation. Source: Alexandria via LeMat-Bulk, functional GGA-PBE.

It has space group P2/m (No. 10), with a = 5.097 Å, b = 7.131 Å, c = 5.097 Å, α = 90.00°, β = 90.74° and γ = 90.00°. Symmetry generates all atoms from Sr at (0.000, 0.000, 0.000), Ce at (0.500, 0.252, 0.500), Te at (0.000, 0.500, 0.000), O at (0.189, 0.301, 0.187), O at (0.275, 0.500, 0.723) and O at (0.327, 0.000, 0.670).

The uncorrected formation energy comes out at -2909 kJ/mol of formula units. As for the density of states at the Fermi level: 0.00 states/eV per atom.

---

[2]
Sr3CeTi2O9 after structural relaxation. Source: Alexandria via LeMat-Bulk, functional GGA-PBE.

It has space group P-3m1 (No. 164), with a = 5.7404 Å, b = 5.7404 Å, c = 7.3293 Å, α = 90.00°, β = 90.00° and γ = 120.00°. Symmetry generates all atoms from Sr at (0.0000, 0.0000, 0.0000), Sr at (0.3333, 0.6667, 0.7175), Ce at (0.0000, 0.0000, 0.5000), Ti at (0.3333, 0.6667, 0.1626), O at (0.0000, 0.5000, 0.0000) and O at (0.1726, 0.3451, 0.3093).

The uncorrected formation energy comes out at -4471 kJ/mol of formula units. As for the density of states at the Fermi level: 0.00 states/eV per atom.

---

[3]
Sr4CeTi3O12 after structural relaxation. Source: Alexandria via LeMat-Bulk, functional GGA-PBE.

It has space group Im-3m (No. 229), with a = 8.141 Å, b = 8.141 Å, c = 8.141 Å, α = 90.00°, β = 90.00° and γ = 90.00°. Symmetry generates all atoms from Sr at (0.250, 0.250, 0.250), Ce at (0.000, 0.000, 0.000), Ti at (0.000, 0.000, 0.500), O at (0.000, 0.000, 0.266) and O at (0.000, 0.250, 0.500).

The uncorrected formation energy comes out at -5912 kJ/mol of formula units. As for the density of states at the Fermi level: 0.00 states/eV per atom.

---

[4]
Sr2CeTlO6 after structural relaxation. Source: Alexandria via LeMat-Bulk, functional GGA-PBE.

It has space group P2_1/c (No. 14), with a = 6.005 Å, b = 6.178 Å, c = 10.422 Å, α = 90.00°, β = 124.62° and γ = 90.00°. Symmetry generates all atoms from Sr at (0.233, 0.051, 0.248), Ce at (0.500, 0.000, 0.000), Tl at (0.000, 0.000, 0.500), O at (0.152, 0.200, 0.948), O at (0.240, 0.708, 0.941) and O at (0.358, 0.042, 0.753).

The uncorrected formation energy comes out at -2185 kJ/mol of formula units. As for the density of states at the Fermi level: 0.59 states/eV per atom.

---

[5]
Sr2CeTmO6 after structural relaxation. Source: Alexandria via LeMat-Bulk, functional GGA-PBE.

It has space group P2_1/c (No. 14), with a = 5.993 Å, b = 6.138 Å, c = 10.443 Å, α = 90.00°, β = 124.91° and γ = 90.00°. Symmetry generates all atoms from Sr at (0.236, 0.046, 0.250), Ce at (0.500, 0.000, 0.000), Tm at (0.000, 0.000, 0.500), O at (0.148, 0.207, 0.944), O at (0.240, 0.707, 0.945) and O at (0.352, 0.042, 0.749).

The uncorrected formation energy comes out at -2899 kJ/mol of formula units. As for the density of states at the Fermi level: 0.87 states/eV per atom.

---

[6]
SrCeUO6 after structural relaxation. Source: Alexandria via LeMat-Bulk, functional GGA-PBE.

It has space group P-31c (No. 163), with a = 5.9490 Å, b = 5.9490 Å, c = 9.3375 Å, α = 90.00°, β = 90.00° and γ = 120.00°. Symmetry generates all atoms from Sr at (0.3333, 0.6667, 0.2500), Ce at (0.0000, 0.0000, 0.0000), U at (0.3333, 0.6667, 0.7500) and O at (0.0544, 0.3565, 0.6272).

The uncorrected formation energy comes out at -2712 kJ/mol of formula units.

---

Record order is preserved below.
Total moment: 0.00 0.00 0.00 1.83 2.10 0.00 Bohr magnetons per cell